<a>
{"formula": "BaLiCu3", "functional": "PBE", "state": "relaxed", "lattice": [[4.7460, 0.0000, 0.0000], [0.0000, 4.7460, 0.0000], [0.0000, 0.0000, 4.7460]], "species": ["Ba", "Cu", "Cu", "Cu", "Li"], "fractional_positions": [[0.5000, 0.5000, 0.5000], [0.0000, 0.5000, 0.0000], [0.0000, 0.0000, 0.5000], [0.5000, 0.0000, 0.0000], [0.0000, 0.0000, 0.0000]], "space_group": "Pm-3m", "mass_density_g_cm3": 5.2}

***

<b>
{"formula": "BaLiCu3", "functional": "PBE", "state": "relaxed", "lattice": [[5.8764, 0.0000, 0.0000], [0.0000, 5.8764, 0.0000], [0.0000, 0.0000, 5.8764]], "species": ["Ba", "Cu", "Cu", "Cu", "Li"], "fractional_positions": [[0.0000, 0.0000, 0.0000], [0.0000, 0.5000, 0.0000], [0.0000, 0.0000, 0.5000], [0.5000, 0.0000, 0.0000], [0.5000, 0.5000, 0.5000]], "space_group": "Pm-3m", "mass_density_g_cm3": 2.7}

***

Of them, <b> has the lowest stability.